Below is a relaxed structure of Th2Ni4Ge3Pd, with properties calculated at the PBE-GGA level.

* DFT formation energy: -0.66 eV/atom
* volume: 17.01 A^3/atom
* crystal system: tetragonal
* size of the total moment: 0.0 μB per cell

abc: 4.1159 4.1159 10.0401
angles: 90.00 90.00 90.00
Closest atoms and distances in Å follow each position.
Space group P-4m2 (No. 115)
Unique sites:
Th1 0.0000 0.5000 0.2481 x2  8 Ni 3.11-3.23, 6 Ge 3.17-3.26, 2 Pd 3.26
Ni1 0.0000 0.0000 0.0000 x1  4 Ge 2.40
Ni2 0.0000 0.5000 0.6428 x2  3 Ge 2.35-2.51, 2 Pd 2.51
Ni3 0.5000 0.5000 0.0000 x1  4 Ge 2.40
Ge1 0.0000 0.5000 0.8769 x2  5 Ni 2.35-2.40
Ge2 0.5000 0.5000 0.5000 x1  4 Ni 2.51
Pd1 0.0000 0.0000 0.5000 x1  4 Ni 2.51